No. 1
KTbAg2Br6: optimized geometry, PBE-GGA.

```
KTbAg2Br6
1.0
-0.324 -0.888 -7.369
5.835 -2.766 -3.672
-0.605 -7.513 -2.814
Ag Br K Tb
2 6 1 1
direct
0.001 0.001 0.997
0.516 0.516 0.453
0.153 0.357 0.756
0.583 0.256 0.235
0.926 0.583 0.235
0.734 0.153 0.756
0.357 0.733 0.757
0.256 0.926 0.235
0.810 0.810 0.569
0.327 0.326 0.020
```

Calculated values
total magnetization = 0.000 μB per formula unit
uncorrected energy = -3.36 eV per atom
space group = R3


No. 2
Sr2La2Mg: optimized geometry, PBE-GGA.

```
Sr2La2Mg
1.0
-1.494 8.176 -0.262
-2.393 -0.692 -7.934
-5.753 -0.993 1.821
Sr La Mg
4 4 2
direct
0.175 0.675 0.500
0.325 0.175 0.500
0.675 0.825 0.500
0.825 0.325 0.500
0.874 0.626 0.000
0.374 0.874 0.000
0.626 0.126 0.000
0.126 0.374 0.000
0.500 0.500 0.000
0.000 0.000 0.000
```

Calculated values
total magnetization = 0.001 μB per formula unit
uncorrected energy = -2.75 eV per atom
space group = P4/mbm
DFT formation energy = 213 meV per atom


No. 3
NaPm2IrO5: optimized geometry, PBE-GGA.

```
NaPm2IrO5
1.0
5.812 0.000 0.000
0.000 6.783 0.000
0.000 0.000 6.783
O Pm Ir Na
10 4 2 2
direct
0.252 0.366 0.134
0.500 0.000 0.000
0.500 0.500 0.500
0.252 0.634 0.866
0.748 0.634 0.866
0.252 0.866 0.366
0.748 0.866 0.366
0.748 0.366 0.134
0.252 0.134 0.634
0.748 0.134 0.634
0.500 0.678 0.178
0.500 0.822 0.678
0.500 0.322 0.822
0.500 0.178 0.322
0.000 0.500 0.000
0.000 0.000 0.500
0.000 0.500 0.500
0.000 0.000 0.000
```

Calculated values
total magnetization = 2.006 μB per formula unit
uncorrected energy = -7.16 eV per atom
space group = P4/mbm


No. 4
SbAsOs2: optimized geometry, PBE-GGA.

```
SbAsOs2
1.0
4.522 -0.002 0.004
3.460 2.912 0.004
0.906 0.330 5.505
Os As Sb
2 1 1
direct
0.995 0.995 0.112
0.740 0.740 0.762
0.278 0.278 0.094
0.488 0.488 0.532
```

Calculated values
total magnetization = 0.000 μB per formula unit
offset from the most stable computed form = 0.083 eV/atom
uncorrected energy = -7.43 eV per atom
space group = Cm


No. 5
KCeSm2Se4: optimized geometry, PBE-GGA.

```
KCeSm2Se4
1.0
-3.180 0.134 -2.765
4.771 -1.470 -5.557
0.447 -7.348 -0.869
Sm Ce Se K
2 1 4 1
direct
0.500 0.000 0.500
0.000 0.000 0.000
0.500 0.500 0.000
0.500 0.233 0.764
0.000 0.241 0.247
0.500 0.767 0.236
0.000 0.759 0.753
0.000 0.500 0.500
```

Calculated values
total magnetization = 1.291 μB per formula unit
uncorrected energy = -5.54 eV per atom
space group = P2/m


No. 6
Al6Ga2Re: optimized geometry, PBE-GGA.

```
Al6Ga2Re
1.0
-1.651 0.923 -5.540
-0.449 -5.778 -0.829
-10.777 0.368 3.274
Ga Al Re
4 12 2
direct
0.000 0.000 0.762
0.500 0.500 0.262
0.000 0.000 0.238
0.500 0.500 0.738
0.800 0.200 0.500
0.236 0.236 0.384
0.236 0.236 0.616
0.736 0.264 0.884
0.764 0.764 0.384
0.764 0.764 0.616
0.700 0.700 0.000
0.736 0.264 0.116
0.264 0.736 0.884
0.200 0.800 0.500
0.264 0.736 0.116
0.300 0.300 0.000
0.000 0.000 0.000
0.500 0.500 0.500
```

Calculated values
total magnetization = 0.000 μB per formula unit
uncorrected energy = -4.27 eV per atom
space group = P4_2/mnm
DFT formation energy = 283 meV per atom


No. 7
ScCd3Cu: optimized geometry, PBE-GGA.

```
ScCd3Cu
1.0
-0.103 0.152 5.605
-0.894 -5.535 0.133
5.536 -0.891 0.126
Cd Cu Sc
3 1 1
direct
0.000 0.500 0.000
0.000 0.000 0.500
0.500 0.000 0.000
0.500 0.500 0.500
0.000 0.000 0.000
```

Calculated values
total magnetization = 0.000 μB per formula unit
offset from the most stable computed form = 0.781 eV/atom
uncorrected energy = -1.66 eV per atom
space group = Pm-3m
DFT formation energy = 977 meV per atom


No. 8
Ac6OsPtAu2: optimized geometry, PBE-GGA.

```
Ac6OsPtAu2
1.0
7.821 0.001 0.002
3.911 6.771 0.001
3.912 2.258 7.005
Ac Os Au Pt
6 1 2 1
direct
0.094 0.439 0.764
0.703 0.094 0.764
0.583 0.215 0.253
0.215 0.949 0.253
0.439 0.703 0.764
0.950 0.582 0.253
0.324 0.324 0.028
0.014 0.015 0.957
0.514 0.514 0.457
0.826 0.826 0.522
```

Calculated values
total magnetization = 0.000 μB per formula unit
uncorrected energy = -5.40 eV per atom
space group = R3
DFT formation energy = -550 meV per atom


No. 9
Na2IrPt: optimized geometry, PBE-GGA.

```
Na2IrPt
1.0
8.037 0.000 0.000
0.000 8.037 0.000
4.018 4.018 2.490
Ir Pt Na
2 2 4
direct
0.250 0.750 0.500
0.500 0.500 0.000
0.750 0.250 0.500
0.000 0.000 0.000
0.375 0.370 0.750
0.120 0.625 0.250
0.630 0.125 0.250
0.875 0.880 0.750
```

Calculated values
total magnetization = 0.000 μB per formula unit
offset from the most stable computed form = 0.000 eV/atom
uncorrected energy = -3.81 eV per atom
space group = I-42d
DFT formation energy = 578 meV per atom


No. 10
PtPb2: optimized geometry, PBE-GGA.

```
PtPb2
1.0
-5.860 -1.728 -0.556
-3.868 0.712 4.708
-4.432 4.232 -0.284
Pb Pt
4 2
direct
0.125 0.125 0.125
0.625 0.125 0.125
0.125 0.125 0.625
0.125 0.625 0.125
0.500 0.500 0.500
0.750 0.750 0.750
```

Calculated values
total magnetization = 0.000 μB per formula unit
uncorrected energy = -3.76 eV per atom
space group = Fd-3m
DFT formation energy = 729 meV per atom


No. 11
LiPrEr2: optimized geometry, PBE-GGA.

```
LiPrEr2
1.0
3.659 0.000 0.000
0.000 3.659 0.000
0.000 0.000 8.705
Li Pr Er
1 1 2
direct
0.500 0.500 0.000
0.500 0.500 0.500
0.000 0.000 0.213
0.000 0.000 0.787
```

Calculated values
total magnetization = 0.000 μB per formula unit
offset from the most stable computed form = 0.000 eV/atom
uncorrected energy = -3.87 eV per atom
space group = P4/mmm
DFT formation energy = 83 meV per atom


No. 12
Mg2Zn2Ag3: optimized geometry, PBE-GGA.

```
Mg2Zn2Ag3
1.0
3.957 0.000 0.000
1.979 4.543 1.125
1.979 2.313 7.303
Ag Mg Zn
3 2 2
direct
0.643 0.140 0.574
0.500 0.000 0.000
0.357 0.860 0.426
0.073 0.573 0.281
0.927 0.427 0.719
0.787 0.288 0.138
0.213 0.712 0.862
```

Calculated values
total magnetization = 0.000 μB per formula unit
offset from the most stable computed form = 0.000 eV/atom
uncorrected energy = -2.17 eV per atom
space group = C2/m
DFT formation energy = -132 meV per atom


No. 13
SrTe2RuCl: optimized geometry, PBE-GGA.

```
SrTe2RuCl
1.0
6.132 0.000 0.000
0.000 5.539 0.000
0.000 0.000 6.132
Ru Te Sr Cl
1 2 1 1
direct
0.000 0.500 0.000
0.500 0.000 0.000
0.000 0.000 0.500
0.000 0.000 0.000
0.500 0.500 0.500
```

Calculated values
total magnetization = 4.636 μB per formula unit
offset from the most stable computed form = 0.516 eV/atom
uncorrected energy = -2.74 eV per atom
space group = P4/mmm


No. 14
Tb3NdMg4: optimized geometry, PBE-GGA.

```
Tb3NdMg4
1.0
-1.895 4.059 3.021
-5.253 -4.674 2.986
6.870 -2.674 7.902
Tb Mg Nd
6 8 2
direct
0.499 0.500 0.250
0.000 0.000 0.000
0.501 0.500 0.750
0.501 0.000 0.750
0.000 0.000 0.500
0.499 0.000 0.250
0.001 0.246 0.750
0.999 0.754 0.250
0.999 0.246 0.250
0.500 0.246 0.500
0.500 0.754 0.500
0.500 0.246 0.000
0.500 0.754 0.000
0.001 0.754 0.750
0.000 0.500 0.000
0.000 0.500 0.500
```

Calculated values
total magnetization = 0.000 μB per formula unit
uncorrected energy = -3.22 eV per atom
space group = Pmma
DFT formation energy = -93 meV per atom


No. 15
AcPm2P: optimized geometry, PBE-GGA.

```
AcPm2P
1.0
-0.118 -1.028 -4.770
-3.503 -3.180 0.772
-3.270 3.442 -0.660
Pm P Ac
2 1 1
direct
0.000 0.000 0.500
0.000 0.500 0.000
0.500 0.500 0.500
0.500 0.000 0.000
```

Calculated values
total magnetization = 0.000 μB per formula unit
offset from the most stable computed form = 0.407 eV/atom
uncorrected energy = -5.07 eV per atom
space group = P4/mmm
DFT formation energy = -317 meV per atom


No. 16
LiYHgPb: optimized geometry, PBE-GGA.

```
LiYHgPb
1.0
5.169 0.000 0.000
2.585 4.477 0.000
2.585 1.492 4.221
Y Hg Pb Li
1 1 1 1
direct
0.250 0.250 0.250
0.500 0.500 0.500
0.000 0.000 0.000
0.750 0.750 0.750
```

Calculated values
total magnetization = 0.000 μB per formula unit
uncorrected energy = -3.54 eV per atom
space group = F-43m
DFT formation energy = -445 meV per atom


No. 17
CdSiRhCl: optimized geometry, PBE-GGA.

```
CdSiRhCl
1.0
-0.449 -1.131 -3.129
2.648 -0.586 -1.981
1.238 -8.043 1.374
Rh Cd Cl Si
1 1 1 1
direct
0.939 0.690 0.295
0.323 0.119 0.035
0.183 0.866 0.714
0.242 0.964 0.451
```

Calculated values
total magnetization = 0.000 μB per formula unit
offset from the most stable computed form = 0.010 eV/atom
uncorrected energy = -4.40 eV per atom
space group = P1


No. 18
Mn2BeCuH: optimized geometry, PBE-GGA.

```
Mn2BeCuH
1.0
-2.763 1.650 1.775
-2.347 -2.492 -1.338
0.588 -2.085 2.854
Mn Cu Be H
2 1 1 1
direct
0.500 0.000 0.000
0.000 0.500 0.000
0.000 0.000 0.500
0.500 0.500 0.500
0.000 0.000 0.000
```

Calculated values
total magnetization = 5.315 μB per formula unit
offset from the most stable computed form = 0.000 eV/atom
uncorrected energy = -5.81 eV per atom
space group = P4/mmm


No. 19
NaZnH3: optimized geometry, PBE-GGA.

```
NaZnH3
1.0
3.664 0.000 0.000
0.000 3.664 0.000
0.000 0.000 3.664
H Na Zn
3 1 1
direct
0.000 0.000 0.500
0.000 0.500 0.000
0.500 0.000 0.000
0.500 0.500 0.500
0.000 0.000 0.000
```

Calculated values
total magnetization = 0.000 μB per formula unit
offset from the most stable computed form = 0.059 eV/atom
uncorrected energy = -2.56 eV per atom
space group = Pm-3m


No. 20
Ho7Tm3: optimized geometry, PBE-GGA.

```
Ho7Tm3
1.0
4.760 0.000 -1.340
-0.432 6.836 -1.535
0.039 0.283 9.263
Tm Ho
3 7
direct
0.800 0.400 0.600
0.200 0.600 0.400
0.000 0.000 0.000
0.800 0.900 0.600
0.000 0.500 0.000
0.400 0.200 0.800
0.200 0.100 0.400
0.400 0.700 0.800
0.600 0.300 0.200
0.600 0.800 0.200
```

Calculated values
total magnetization = 0.000 μB per formula unit
offset from the most stable computed form = 0.000 eV/atom
uncorrected energy = -4.53 eV per atom
space group = C2/m
DFT formation energy = 19 meV per atom


No. 21
ZrMoSeN2: optimized geometry, PBE-GGA.

```
ZrMoSeN2
1.0
4.116 0.000 0.000
0.000 4.116 0.000
0.000 0.000 5.513
Zr Mo N Se
1 1 2 1
direct
0.000 0.000 0.000
0.500 0.500 0.500
0.000 0.500 0.000
0.500 0.000 0.000
0.000 0.000 0.500
```

Calculated values
total magnetization = 3.102 μB per formula unit
offset from the most stable computed form = 0.605 eV/atom
uncorrected energy = -7.19 eV per atom
space group = P4/mmm


No. 22
ScTcAg2: optimized geometry, PBE-GGA.

```
ScTcAg2
1.0
-0.726 -3.592 -3.260
2.300 -1.293 0.912
-1.965 -3.024 3.769
Ag Tc Sc
2 1 1
direct
0.000 0.992 0.993
0.000 0.508 0.507
0.500 0.750 0.750
0.500 0.250 0.250
```

Calculated values
total magnetization = 0.000 μB per formula unit
offset from the most stable computed form = 0.095 eV/atom
uncorrected energy = -5.40 eV per atom
space group = P2/m
DFT formation energy = 202 meV per atom


No. 23
K2Rb2InSb2: optimized geometry, PBE-GGA.

```
K2Rb2InSb2
1.0
-2.615 -1.632 3.849
-2.630 -9.184 -2.522
4.369 -1.903 5.321
Sb In Rb K
2 1 2 2
direct
0.452 0.191 0.905
0.548 0.809 0.095
0.000 0.000 0.000
0.822 0.833 0.523
0.178 0.167 0.477
0.291 0.580 0.838
0.709 0.420 0.162
```

Calculated values
total magnetization = 0.267 μB per formula unit
uncorrected energy = -2.38 eV per atom
space group = C2/m


No. 24
LiSbCl2: optimized geometry, PBE-GGA.

```
LiSbCl2
1.0
0.000 3.578 3.578
3.578 0.000 3.578
3.578 3.578 0.000
Cl Li Sb
2 1 1
direct
0.250 0.250 0.250
0.750 0.750 0.750
0.000 0.000 0.000
0.500 0.500 0.500
```

Calculated values
total magnetization = 0.000 μB per formula unit
offset from the most stable computed form = 0.682 eV/atom
uncorrected energy = -2.83 eV per atom
space group = Fm-3m


No. 25
LaPr2Dy4Er: optimized geometry, PBE-GGA.

```
LaPr2Dy4Er
1.0
-3.783 1.513 -3.129
-0.624 -4.819 -1.576
-7.363 -6.368 5.824
Pr Er Dy La
2 1 4 1
direct
0.000 0.000 0.000
0.500 0.000 0.500
0.000 0.500 0.500
0.000 0.754 0.746
0.500 0.254 0.746
0.500 0.746 0.254
0.000 0.246 0.254
0.500 0.500 0.000
```

Calculated values
total magnetization = 0.000 μB per formula unit
uncorrected energy = -4.66 eV per atom
space group = Pmmm
DFT formation energy = 24 meV per atom